# 1
Entry from Alexandria via LeMat-Bulk: a geometry-optimized CaAl2In structure (PBE).

Properties
Space-group type ... No. 47
ΔE_f ... -2.00 kcal/mol of atoms

abc: 3.2891 4.8787 5.8290
angles: 90.00 90.00 90.00
Atoms (fractional coordinates):
1 Ca 0.0000 0.0000 0.0000
2 Al 0.5000 0.5000 0.2360
3 Al 0.5000 0.5000 0.7640
4 In 0.5000 0.0000 0.5000

# 2
Entry from Alexandria via LeMat-Bulk: a geometry-optimized NaTlOF structure (PBE).

Properties
Space-group type ... No. 166
Raw formation energy ... -1530.0 meV/atom

abc: 13.1685 13.1685 13.1685
angles: 15.25 15.25 15.25
Atoms (fractional coordinates):
1 Na 0.2480 0.2480 0.2480
2 Na 0.7520 0.7520 0.7520
3 Tl 0.0000 0.0000 0.0000
4 Tl 0.5000 0.5000 0.5000
5 O 0.3037 0.3037 0.3037
6 O 0.6963 0.6963 0.6963
7 F 0.1145 0.1145 0.1145
8 F 0.8855 0.8855 0.8855

# 3
Entry from Alexandria via LeMat-Bulk: a geometry-optimized BaThMg structure (PBE).

Properties
Space-group type ... No. 38
ΔE_f ... 6.83 kcal/mol of atoms

abc: 18.6714 3.6196 3.6196
angles: 59.97 90.00 90.00
Atoms (fractional coordinates):
1 Ba 0.1682 0.0000 0.0000
2 Ba 0.8318 0.0000 0.0000
3 Th 0.3524 0.3349 0.3349
4 Th 0.6476 0.3349 0.3349
5 Mg 0.0000 0.3308 0.3308
6 Mg 0.5000 0.0028 0.0028

# 4
Entry from Alexandria via LeMat-Bulk: a geometry-optimized Er3Ga5Te12 structure (PBE).

Properties
Space-group type ... No. 230
Raw formation energy ... -603.3 meV/atom

abc: 14.8587 14.8587 14.8587
angles: 109.47 109.47 109.47
Atoms (fractional coordinates):
1 Er 0.1250 0.2500 0.3750
2 Er 0.1250 0.3750 0.7500
3 Er 0.2500 0.3750 0.1250
4 Er 0.2500 0.8750 0.6250
5 Er 0.3750 0.1250 0.2500
6 Er 0.3750 0.7500 0.1250
7 Er 0.6250 0.2500 0.8750
8 Er 0.6250 0.8750 0.7500
9 Er 0.7500 0.1250 0.3750
10 Er 0.7500 0.6250 0.8750
11 Er 0.8750 0.6250 0.2500
12 Er 0.8750 0.7500 0.6250
13 Ga 0.0000 0.0000 0.0000
14 Ga 0.0000 0.0000 0.5000
15 Ga 0.0000 0.5000 0.0000
16 Ga 0.0000 0.5000 0.5000
17 Ga 0.1250 0.7500 0.8750
18 Ga 0.1250 0.8750 0.2500
19 Ga 0.2500 0.1250 0.8750
20 Ga 0.2500 0.6250 0.3750
21 Ga 0.3750 0.2500 0.6250
22 Ga 0.3750 0.6250 0.7500
23 Ga 0.5000 0.0000 0.0000
24 Ga 0.5000 0.0000 0.5000
25 Ga 0.5000 0.5000 0.0000
26 Ga 0.5000 0.5000 0.5000
27 Ga 0.6250 0.3750 0.2500
28 Ga 0.6250 0.7500 0.3750
29 Ga 0.7500 0.3750 0.6250
30 Ga 0.7500 0.8750 0.1250
31 Ga 0.8750 0.1250 0.7500
32 Ga 0.8750 0.2500 0.1250
33 Te 0.0388 0.2141 0.1283
34 Te 0.0388 0.3246 0.9105
35 Te 0.0859 0.7141 0.6754
36 Te 0.0859 0.8717 0.4105
37 Te 0.0895 0.6283 0.4141
38 Te 0.0895 0.9612 0.6754
39 Te 0.1283 0.0388 0.2141
40 Te 0.1283 0.5895 0.9141
41 Te 0.1754 0.2141 0.5859
42 Te 0.1754 0.4612 0.5895
43 Te 0.2141 0.1283 0.0388
44 Te 0.2141 0.5859 0.1754
45 Te 0.2859 0.3246 0.9141
46 Te 0.2859 0.4612 0.3717
47 Te 0.3246 0.9105 0.0388
48 Te 0.3246 0.9141 0.2859
49 Te 0.3717 0.2859 0.4612
50 Te 0.3717 0.5859 0.9105
51 Te 0.4105 0.0859 0.8717
52 Te 0.4105 0.8246 0.5388
53 Te 0.4141 0.0895 0.6283
54 Te 0.4141 0.8246 0.7859
55 Te 0.4612 0.3717 0.2859
56 Te 0.4612 0.5895 0.1754
57 Te 0.5388 0.4105 0.8246
58 Te 0.5388 0.6283 0.7141
59 Te 0.5859 0.1754 0.2141
60 Te 0.5859 0.9105 0.3717
61 Te 0.5895 0.1754 0.4612
62 Te 0.5895 0.9141 0.1283
63 Te 0.6283 0.4141 0.0895
64 Te 0.6283 0.7141 0.5388
65 Te 0.6754 0.0859 0.7141
66 Te 0.6754 0.0895 0.9612
67 Te 0.7141 0.5388 0.6283
68 Te 0.7141 0.6754 0.0859
69 Te 0.7859 0.4141 0.8246
70 Te 0.7859 0.8717 0.9612
71 Te 0.8246 0.5388 0.4105
72 Te 0.8246 0.7859 0.4141
73 Te 0.8717 0.4105 0.0859
74 Te 0.8717 0.9612 0.7859
75 Te 0.9105 0.0388 0.3246
76 Te 0.9105 0.3717 0.5859
77 Te 0.9141 0.1283 0.5895
78 Te 0.9141 0.2859 0.3246
79 Te 0.9612 0.6754 0.0895
80 Te 0.9612 0.7859 0.8717

# 5
Entry from Alexandria via LeMat-Bulk: a geometry-optimized V4Pt structure (PBE).

Properties
Space-group type ... No. 221
ΔE_f ... 28.05 kcal/mol of atoms

abc: 4.6978 4.6978 4.6978
angles: 90.00 90.00 90.00
Atoms (fractional coordinates):
1 V 0.0000 0.0000 0.0000
2 V 0.0000 0.5000 0.5000
3 V 0.5000 0.0000 0.5000
4 V 0.5000 0.5000 0.0000
5 Pt 0.5000 0.5000 0.5000

# 6
Entry from Alexandria via LeMat-Bulk: a geometry-optimized TbBi2As2Pd7 structure (PBE).

Properties
Space-group type ... No. 12
ΔE_f ... -10.81 kcal/mol of atoms

abc: 4.0972 4.0972 14.3329
angles: 94.54 94.54 89.71
Atoms (fractional coordinates):
1 Tb 0.0000 0.0000 0.0000
2 Bi 0.1257 0.1257 0.3925
3 Bi 0.8743 0.8743 0.6075
4 As 0.4292 0.4292 0.7499
5 As 0.5708 0.5708 0.2501
6 Pd 0.0420 0.5415 0.1494
7 Pd 0.3542 0.3542 0.5743
8 Pd 0.4585 0.9580 0.8506
9 Pd 0.5000 0.5000 0.0000
10 Pd 0.5415 0.0420 0.1494
11 Pd 0.6458 0.6458 0.4257
12 Pd 0.9580 0.4585 0.8506

# 7
Entry from Alexandria via LeMat-Bulk: a geometry-optimized NaCa6Ag5 structure (PBE).

Properties
Space-group type ... No. 10
ΔE_f ... -5.51 kcal/mol of atoms

abc: 5.2972 7.6677 8.3598
angles: 90.00 107.61 90.00
Atoms (fractional coordinates):
1 Na 0.0000 0.0000 0.0000
2 Ca 0.1744 0.2576 0.3462
3 Ca 0.1744 0.7424 0.3462
4 Ca 0.5000 0.2676 0.0000
5 Ca 0.5000 0.7324 0.0000
6 Ca 0.8256 0.2576 0.6538
7 Ca 0.8256 0.7424 0.6538
8 Ag 0.0000 0.5000 0.0000
9 Ag 0.3312 0.5000 0.6696
10 Ag 0.3410 0.0000 0.6844
11 Ag 0.6590 0.0000 0.3156
12 Ag 0.6688 0.5000 0.3304

# 8
Entry from Alexandria via LeMat-Bulk: a geometry-optimized Pa2GeOsC structure (PBE).

Properties
Space-group type ... No. 11
ΔE_f ... -9.28 kcal/mol of atoms

abc: 6.6574 3.9314 7.9375
angles: 90.00 112.08 90.00
Atoms (fractional coordinates):
1 Pa 0.2235 0.2500 0.4812
2 Pa 0.2310 0.2500 0.8947
3 Pa 0.7690 0.7500 0.1053
4 Pa 0.7765 0.7500 0.5188
5 Ge 0.2538 0.7500 0.2007
6 Ge 0.7462 0.2500 0.7993
7 Os 0.4776 0.7500 0.7559
8 Os 0.5224 0.2500 0.2441
9 C 0.1457 0.7500 0.6739
10 C 0.8543 0.2500 0.3261

Number 1: total DFT energy (no corrections) -3.14 eV/atom. Number 2: total DFT energy (no corrections) -4.16 eV/atom. Number 3: total DFT energy (no corrections) -3.35 eV/atom. Number 4: total DFT energy (no corrections) -3.93 eV/atom. Number 5: total DFT energy (no corrections) -7.29 eV/atom. Number 6: total DFT energy (no corrections) -5.31 eV/atom. Number 7: total DFT energy (no corrections) -2.54 eV/atom. Number 8: total DFT energy (no corrections) -9.21 eV/atom.